PrFe2GeC | PBE-GGA | optimized geometry

The space group is Cmcm (No. 63) and the conventional cell measures 3.991, 10.671 and 6.904 Å, with angles of 90.00, 90.00 and 90.00 degrees. Symmetry generates all atoms from Pr at (0.000, 0.054, 0.250), Fe at (0.000, 0.338, 0.066), Ge at (0.000, 0.228, 0.750) and C at (0.000, 0.500, 0.000).

The size of the total moment comes out at 3.31 Bohr magnetons per cell. For the energy of formation from the pure elements, the calculation gives -1.5 eV/f.u. As for the total energy: -7.416 eV per atom.

BaNaMn3 | PBE-GGA | optimized geometry

The space group is Pm-3m (No. 221) and the conventional cell measures 5.249, 5.249 and 5.249 Å, with angles of 90.00, 90.00 and 90.00 degrees. Symmetry generates all atoms from Ba at (0.000, 0.000, 0.000), Na at (0.500, 0.500, 0.500) and Mn at (0.000, 0.500, 0.500).

The size of the total moment comes out at 12.30 Bohr magnetons per cell. For the energy of formation from the pure elements, the calculation gives 6.2 eV/f.u. The calculation puts the distance to the lowest polymorph of the same formula at 0.000 eV/atom. As for the total energy: -4.904 eV per atom.

Which of these has the highest size of the total moment?
BaNaMn3

size of the total moment of number 1 (PrFe2GeC)?
3.31 Bohr magnetons per cell

What did the second record say?
BaNaMn3 | PBE-GGA | optimized geometry

The space group is Pm-3m (No. 221) and the conventional cell measures 5.249, 5.249 and 5.249 Å, with angles of 90.00, 90.00 and 90.00 degrees. Symmetry generates all atoms from Ba at (0.000, 0.000, 0.000), Na at (0.500, 0.500, 0.500) and Mn at (0.000, 0.500, 0.500).

The size of the total moment comes out at 12.30 Bohr magnetons per cell. For the energy of formation from the pure elements, the calculation gives 6.2 eV/f.u. The calculation puts the distance to the lowest polymorph of the same formula at 0.000 eV/atom. As for the total energy: -4.904 eV per atom.

Which of these has the highest size of the total moment?
BaNaMn3